Density functional theory data (SCAN) for Cs2HgBr2 at its PBEsol-relaxed geometry.

Output
Fermi-level density of states, states/eV per cell: 0.0
Energy relative to the elements, uncorrected, eV/atom: -1.5094
V, Å³/cell: 411.6
Space group: P4/mbm (127)

Cell lengths 9.770, 9.770, 4.313 Å; angles 90.00, 90.00, 90.00 degrees
Element x y z (fractional)
Cs 0.143 0.357 0.000
Cs 0.357 0.857 0.000
Cs 0.643 0.143 0.000
Cs 0.857 0.643 0.000
Hg 0.000 0.000 0.000
Hg 0.500 0.500 0.000
Br 0.154 0.654 0.500
Br 0.346 0.154 0.500
Br 0.654 0.846 0.500
Br 0.846 0.346 0.500


Density functional theory data (SCAN) for Cs2HgBr at its PBEsol-relaxed geometry.

Output
Fermi-level density of states, states/eV per cell: 3.0
Energy relative to the elements, uncorrected, eV/atom: -0.9646
V, Å³/cell: 166.6
Space group: Fm-3m (225)

Cell lengths 6.177, 6.177, 6.177 Å; angles 60.00, 60.00, 60.00 degrees
Element x y z (fractional)
Cs 0.250 0.250 0.250
Cs 0.750 0.750 0.750
Hg 0.000 0.000 0.000
Br 0.500 0.500 0.500


Density functional theory data (SCAN) for Cs2HgBr4 at its PBEsol-relaxed geometry.

Output
Fermi-level density of states, states/eV per cell: 0.0
Energy relative to the elements, uncorrected, eV/atom: -1.3796
V, Å³/cell: 1103.4
Space group: P2_1/c (14)

Cell lengths 7.649, 10.143, 16.027 Å; angles 90.00, 117.46, 90.00 degrees
Element x y z (fractional)
Cs 0.052 0.009 0.328
Cs 0.052 0.491 0.828
Cs 0.376 0.111 0.105
Cs 0.376 0.389 0.605
Cs 0.624 0.611 0.395
Cs 0.624 0.889 0.895
Cs 0.948 0.509 0.172
Cs 0.948 0.991 0.672
Hg 0.333 0.718 0.075
Hg 0.333 0.782 0.575
Hg 0.667 0.218 0.425
Hg 0.667 0.282 0.925
Br 0.117 0.665 0.412
Br 0.117 0.835 0.912
Br 0.233 0.692 0.702
Br 0.233 0.808 0.202
Br 0.313 0.181 0.871
Br 0.313 0.319 0.371
Br 0.317 0.037 0.579
Br 0.317 0.463 0.079
Br 0.683 0.537 0.921
Br 0.683 0.963 0.421
Br 0.687 0.681 0.629
Br 0.687 0.819 0.129
Br 0.767 0.192 0.798
Br 0.767 0.308 0.298
Br 0.883 0.165 0.088
Br 0.883 0.335 0.588


Density functional theory data (SCAN) for CsHg2Br at its PBEsol-relaxed geometry.

Output
Fermi-level density of states, states/eV per cell: 0.0
Energy relative to the elements, uncorrected, eV/atom: -0.7818
V, Å³/cell: 141.5
Space group: Fm-3m (225)

Cell lengths 5.849, 5.849, 5.849 Å; angles 60.00, 60.00, 60.00 degrees
Element x y z (fractional)
Cs 0.000 0.000 0.000
Hg 0.250 0.250 0.250
Hg 0.750 0.750 0.750
Br 0.500 0.500 0.500


Density functional theory data (SCAN) for CsHgBr2 at its PBEsol-relaxed geometry.

Output
Fermi-level density of states, states/eV per cell: 2.8
Energy relative to the elements, uncorrected, eV/atom: -0.6156
V, Å³/cell: 192.1
Space group: R-3m (166)

Cell lengths 9.454, 9.454, 9.454 Å; angles 30.43, 30.43, 30.43 degrees
Element x y z (fractional)
Cs 0.000 0.000 0.000
Hg 0.500 0.500 0.500
Br 0.120 0.120 0.120
Br 0.880 0.880 0.880


Density functional theory data (SCAN) for CsHgSe2Br at its PBEsol-relaxed geometry.

Output
Fermi-level density of states, states/eV per cell: 5.4
Energy relative to the elements, uncorrected, eV/atom: 0.4411
V, Å³/cell: 298.6
Space group: P4/mmm (123)

Cell lengths 6.775, 6.775, 6.504 Å; angles 90.00, 90.00, 90.00 degrees
Element x y z (fractional)
Cs 0.000 0.000 0.000
Hg 0.500 0.500 0.500
Se 0.000 0.500 0.000
Se 0.500 0.000 0.000
Br 0.000 0.000 0.500


Density functional theory data (SCAN) for Cs2TlHgBr6 at its PBEsol-relaxed geometry.

Output
Fermi-level density of states, states/eV per cell: 1.3
Energy relative to the elements, uncorrected, eV/atom: -1.1628
V, Å³/cell: 354.5
Space group: Fm-3m (225)

Cell lengths 7.944, 7.944, 7.944 Å; angles 60.00, 60.00, 60.00 degrees
Element x y z (fractional)
Cs 0.250 0.250 0.250
Cs 0.750 0.750 0.750
Tl 0.000 0.000 0.000
Hg 0.500 0.500 0.500
Br 0.254 0.254 0.746
Br 0.254 0.746 0.254
Br 0.254 0.746 0.746
Br 0.746 0.254 0.254
Br 0.746 0.254 0.746
Br 0.746 0.746 0.254


Density functional theory data (SCAN) for Cs2YHgBr6 at its PBEsol-relaxed geometry.

Output
Fermi-level density of states, states/eV per cell: 4.1
Energy relative to the elements, uncorrected, eV/atom: -1.6756
V, Å³/cell: 373.7
Space group: Fm-3m (225)

Cell lengths 8.085, 8.085, 8.085 Å; angles 60.00, 60.00, 60.00 degrees
Element x y z (fractional)
Cs 0.250 0.250 0.250
Cs 0.750 0.750 0.750
Y 0.000 0.000 0.000
Hg 0.500 0.500 0.500
Br 0.241 0.241 0.759
Br 0.241 0.759 0.241
Br 0.241 0.759 0.759
Br 0.759 0.241 0.241
Br 0.759 0.241 0.759
Br 0.759 0.759 0.241


| no. | M_tot (μB per formula unit) |
| --- | --- |
| 1 | 0.000 |
| 2 | 0.000 |
| 3 | 0.000 |
| 4 | 0.000 |
| 5 | 0.000 |
| 6 | 4.016 |
| 7 | 0.000 |
| 8 | 0.002 |